(A)
The following is a DFT calculation (PBEsol) of a relaxed structure of K2LiCr.

Cell: 3.6058 6.3562 7.4719 Å, 115.17 103.96 90.00°
Each line ends with the local moment (μB).
Atoms (fractional coordinates):
Li: 0.5481 0.5481 0.0961  0.01
Cr: 0.2160 0.7160 0.4321  4.15
K: 0.9699 0.9699 0.9397  0.01
K: 0.7660 0.2660 0.5321  0.01

## Properties
DOS at the Fermi energy   2.0 states/eV/cell

(B)
The following is a DFT calculation (PBEsol) of a relaxed structure of K2LiCr.

Cell: 5.6153 6.2753 5.6153 Å, 63.42 90.00 116.58°
Each line ends with the local moment (μB).
Atoms (fractional coordinates):
K: 0.2500 0.5000 0.2500  0.01
K: 0.7500 0.5000 0.7500  0.01
Li: 0.0000 0.0000 0.0000  -0.01
Cr: 0.5000 0.0000 0.5000  4.23

## Properties
DOS at the Fermi energy   2.1 states/eV/cell

Which structure is the least stable? The one labeled (B).

(A)
The following is a DFT calculation (PBEsol) of a relaxed structure of K2MnCr.

Cell: 3.3742 3.3742 10.2754 Å, 90.00 90.00 90.00°
Each line ends with the local moment (μB).
Atoms (fractional coordinates):
Cr: 0.5000 0.5000 0.6494  2.93
K: 0.5000 0.5000 0.3263  -0.01
K: 0.0000 0.0000 0.9248  0.01
Mn: 0.0000 0.0000 0.5994  -3.18

## Properties
DOS at the Fermi energy   2.2 states/eV/cell

(B)
The following is a DFT calculation (PBEsol) of a relaxed structure of K2MnCr.

Cell: 3.4752 6.1917 6.8654 Å, 116.80 104.66 90.00°
Each line ends with the local moment (μB).
Atoms (fractional coordinates):
Mn: 0.5594 0.5594 0.1189  -3.44
Cr: 0.1861 0.6861 0.3722  3.41
K: 0.7773 0.2773 0.5547  0.01
K: 0.9772 0.9772 0.9543  -0.01

## Properties
DOS at the Fermi energy   2.5 states/eV/cell

Which structure is the least stable? The one labeled (B).

(A)
The following is a DFT calculation (PBEsol) of a relaxed structure of KCrN2.

Cell: 5.6486 11.3409 15.3775 Å, 90.00 90.00 90.00°
Atoms (fractional coordinates):
K: 0.7494 0.5000 0.5672
K: 0.8644 0.2504 0.1940
K: 0.8644 0.2496 0.6940
K: 0.3644 0.2504 0.3060
K: 0.6356 0.7504 0.1940
K: 0.7506 0.5000 0.0673
K: 0.7494 0.0000 0.0673
K: 0.2506 0.0000 0.9327
K: 0.2494 0.0000 0.4328
K: 0.1356 0.7504 0.3060
K: 0.3644 0.2496 0.8060
K: 0.2506 0.5000 0.4328
K: 0.6356 0.7496 0.6940
K: 0.7506 0.0000 0.5672
K: 0.1356 0.7496 0.8060
K: 0.2494 0.5000 0.9327
Cr: 0.6781 0.7496 0.9429
Cr: 0.7492 0.4996 0.8158
Cr: 0.2492 0.0004 0.1842
Cr: 0.1781 0.7496 0.5571
Cr: 0.3219 0.2504 0.0571
Cr: 0.1781 0.7504 0.0571
Cr: 0.7508 0.9996 0.8158
Cr: 0.8219 0.2496 0.9429
Cr: 0.7508 0.5004 0.3158
Cr: 0.3219 0.2496 0.5571
Cr: 0.2492 0.4996 0.6842
Cr: 0.2508 0.5004 0.1842
Cr: 0.2508 0.9996 0.6842
Cr: 0.7492 0.0004 0.3158
Cr: 0.6781 0.7504 0.4429
Cr: 0.8219 0.2504 0.4429
N: 0.4981 0.0000 0.2505
N: 0.2392 0.8744 0.6190
N: 0.9981 0.0000 0.2495
N: 0.7392 0.6256 0.3810
N: 0.1280 0.2503 0.4684
N: 0.2608 0.3744 0.6190
N: 0.3720 0.7503 0.4684
N: 0.9981 0.5000 0.7495
N: 0.7603 0.3758 0.3818
N: 0.7392 0.8744 0.8810
N: 0.4981 0.5000 0.7505
N: 0.2603 0.3758 0.1182
N: 0.7397 0.6242 0.8818
N: 0.1279 0.2497 0.9684
N: 0.6280 0.2497 0.5316
N: 0.0019 0.5000 0.2505
N: 0.3721 0.7497 0.9684
N: 0.5019 0.0000 0.7495
N: 0.7397 0.8758 0.3818
N: 0.7608 0.1256 0.3810
N: 0.0019 0.0000 0.7505
N: 0.2608 0.1256 0.1190
N: 0.2397 0.6242 0.6182
N: 0.5019 0.5000 0.2495
N: 0.2392 0.6256 0.1190
N: 0.2397 0.8758 0.1182
N: 0.2603 0.1242 0.6182
N: 0.8721 0.7503 0.0316
N: 0.8720 0.7497 0.5316
N: 0.7608 0.3744 0.8810
N: 0.7603 0.1242 0.8818
N: 0.6279 0.2503 0.0316

## Properties
DOS at the Fermi energy   26.3 states/eV/cell

(B)
The following is a DFT calculation (PBEsol) of a relaxed structure of KCrN2.

Cell: 5.5615 5.6144 5.5615 Å, 60.31 90.00 119.69°
Atoms (fractional coordinates):
Cr: 0.7500 0.5000 0.7500
Cr: 0.0000 0.0000 0.0000
N: 0.9317 0.7500 0.3750
N: 0.8183 0.7500 0.8750
N: 0.3750 0.2500 0.8183
N: 0.8750 0.2500 0.9317
K: 0.2500 0.5000 0.2500
K: 0.5000 0.0000 0.5000

## Properties
DOS at the Fermi energy   3.7 states/eV/cell

Which structure is the least stable? The one labeled (B).

(A)
The following is a DFT calculation (PBEsol) of a relaxed structure of KCr2Ni.

Cell: 4.5738 4.5738 4.5738 Å, 60.00 60.00 60.00°
Each line ends with the local moment (μB).
Atoms (fractional coordinates):
Cr: 0.0000 0.0000 0.0000  3.40
Cr: 0.2500 0.2500 0.2500  -3.45
K: 0.5000 0.5000 0.5000  -0.03
Ni: 0.7500 0.7500 0.7500  0.20

## Properties
DOS at the Fermi energy   2.8 states/eV/cell

(B)
The following is a DFT calculation (PBEsol) of a relaxed structure of KCr2Ni.

Cell: 3.0197 4.8481 4.8481 Å, 90.00 90.00 90.00°
Each line ends with the local moment (μB).
Atoms (fractional coordinates):
Cr: 0.0000 0.5000 0.0000  3.76
Cr: 0.0000 0.0000 0.5000  3.76
Ni: 0.5000 0.0000 0.0000  0.33
K: 0.5000 0.5000 0.5000  0.13

## Properties
DOS at the Fermi energy   3.7 states/eV/cell

Which structure is the least stable? The one labeled (B).

(A)
The following is a DFT calculation (PBEsol) of a relaxed structure of KCrP2.

Cell: 4.0658 4.2228 4.2228 Å, 90.00 90.00 90.00°
Each line ends with the local moment (μB).
Atoms (fractional coordinates):
K: 0.5000 0.0000 0.0000  0.02
P: 0.0000 0.0000 0.5000  -0.09
P: 0.0000 0.5000 0.0000  -0.09
Cr: 0.5000 0.5000 0.5000  3.74

## Properties
DOS at the Fermi energy   1.6 states/eV/cell

(B)
The following is a DFT calculation (PBEsol) of a relaxed structure of KCrP2.

Cell: 3.1001 4.0399 6.8220 Å, 79.54 76.87 67.44°
Each line ends with the local moment (μB).
Atoms (fractional coordinates):
K: 0.2135 0.3161 0.2569  0.01
Cr: 0.4310 0.3948 0.7433  1.61
P: 0.7780 0.8285 0.6155  -0.03
P: 0.0775 0.9606 0.8843  -0.02

## Properties
DOS at the Fermi energy   2.5 states/eV/cell

(C)
The following is a DFT calculation (PBEsol) of a relaxed structure of KCrP2.

Cell: 4.4600 4.7065 4.4600 Å, 61.72 90.00 118.28°
Each line ends with the local moment (μB).
Atoms (fractional coordinates):
P: 0.2500 0.5000 0.2500  -0.15
P: 0.7500 0.5000 0.7500  -0.15
Cr: 0.5000 0.0000 0.5000  3.19
K: 0.0000 0.0000 0.0000  -0.01

## Properties
DOS at the Fermi energy   1.7 states/eV/cell

Which structure is the least stable? The one labeled (A).

(A)
The following is a DFT calculation (PBEsol) of a relaxed structure of KCr2Pt.

Cell: 3.1518 3.1518 8.5189 Å, 90.00 90.00 90.00°
Each line ends with the local moment (μB).
Atoms (fractional coordinates):
Pt: 0.5000 0.5000 0.5000  0.16
Cr: 0.0000 0.0000 0.3332  3.42
Cr: 0.0000 0.0000 0.6668  3.42
K: 0.5000 0.5000 0.0000  0.04

## Properties
DOS at the Fermi energy   5.0 states/eV/cell

(B)
The following is a DFT calculation (PBEsol) of a relaxed structure of KCr2Pt.

Cell: 2.8224 4.6374 6.9343 Å, 98.91 90.00 107.72°
Each line ends with the local moment (μB).
Atoms (fractional coordinates):
Cr: 0.2983 0.5966 0.8858  -2.32
Cr: 0.9915 0.9831 0.9792  2.53
Pt: 0.7177 0.4354 0.1531  0.06
K: 0.4925 0.9850 0.4819  0.00

## Properties
DOS at the Fermi energy   3.2 states/eV/cell

Which structure is the least stable? The one labeled (A).